DFT (PBE with a Hubbard U) results for a geometry-optimized Mn3FeF structure.

Structure (POSCAR):
```
Mn3FeF
1.0
4.4072 0.0000 0.0000
0.0000 4.4072 0.0000
0.0000 0.0000 4.4072
Mn Fe F
3 1 1
Direct
0.0000 0.5000 0.0000 Mn
0.5000 0.0000 0.0000 Mn
0.0000 0.0000 0.5000 Mn
0.5000 0.5000 0.5000 Fe
0.0000 0.0000 0.0000 F
```

* space group: Pm-3m
* energy: -5.712 eV per atom